An optimized crystal structure of NaTlGe. Source: Alexandria, functional PBE.

Cell lengths 4.528, 3.932, 9.592 Å; angles 90.00, 103.71, 90.00 degrees
Positions (direct):
Na  0.000  0.000  0.000
Na  0.201  0.000  0.405
Tl  0.608  0.500  0.218
Tl  0.812  0.500  0.625
Ge  0.368  0.000  0.738
Ge  0.451  0.500  0.903

Formation enthalpy at 0 K, eV/atom: -0.016

***

An optimized crystal structure of As2OsSBr. Source: Alexandria, functional PBE.

Cell lengths 4.755, 4.755, 5.110 Å; angles 90.00, 90.00, 90.00 degrees
Positions (direct):
As  0.000  0.500  0.000
As  0.500  0.000  0.000
Os  0.000  0.000  0.000
S  0.500  0.500  0.500
Br  0.000  0.000  0.500

Energy above the lowest structure with this stoichiometry, eV/atom: 0.000
ΔE_f (raw), eV/atom: 0.7836

***

An optimized crystal structure of Y2Tc. Source: Alexandria, functional PBE.

Cell lengths 5.881, 5.881, 5.881 Å; angles 60.00, 60.00, 60.00 degrees
Positions (direct):
Y  0.000  0.000  0.000
Y  0.000  0.000  0.500
Y  0.000  0.500  0.000
Y  0.500  0.000  0.000
Tc  0.375  0.375  0.375
Tc  0.625  0.625  0.625

Energy above the lowest structure with this stoichiometry, eV/atom: 1.159
Formation enthalpy at 0 K, eV/atom: 1.146

***

An optimized crystal structure of Rb3NdPa3Se8. Source: Alexandria, functional PBE.

Cell lengths 9.543, 9.543, 9.543 Å; angles 52.24, 52.24, 52.24 degrees
Positions (direct):
Rb  0.000  0.500  0.500
Rb  0.500  0.000  0.500
Rb  0.500  0.500  0.000
Nd  0.500  0.500  0.500
Pa  0.000  0.000  0.500
Pa  0.000  0.500  0.000
Pa  0.500  0.000  0.000
Se  0.223  0.738  0.738
Se  0.233  0.233  0.233
Se  0.262  0.262  0.777
Se  0.262  0.777  0.262
Se  0.738  0.223  0.738
Se  0.738  0.738  0.223
Se  0.767  0.767  0.767
Se  0.777  0.262  0.262

ΔE_f (raw), eV/atom: -1.4316

***

An optimized crystal structure of TaCuSbMo2. Source: Alexandria, functional PBE.

Cell lengths 4.829, 4.829, 5.240 Å; angles 90.00, 90.00, 90.00 degrees
Positions (direct):
Ta  0.000  0.000  0.000
Cu  0.500  0.500  0.500
Sb  0.000  0.000  0.500
Mo  0.000  0.500  0.000
Mo  0.500  0.000  0.000

ΔE_f (raw), eV/atom: 1.7882

***

An optimized crystal structure of PaMn4Au. Source: Alexandria, functional PBE.

Cell lengths 5.072, 5.072, 5.072 Å; angles 60.00, 60.00, 60.00 degrees
Positions (direct):
Pa  0.000  0.000  0.000
Mn  0.126  0.625  0.625
Mn  0.625  0.126  0.625
Mn  0.625  0.625  0.126
Mn  0.625  0.625  0.625
Au  0.250  0.250  0.250

Formation enthalpy at 0 K, eV/atom: 0.074

***

An optimized crystal structure of ReNi2BiPd. Source: Alexandria, functional PBE.

Cell lengths 4.529, 4.529, 5.206 Å; angles 90.00, 90.00, 90.00 degrees
Positions (direct):
Re  0.000  0.000  0.000
Ni  0.000  0.500  0.000
Ni  0.500  0.000  0.000
Bi  0.000  0.000  0.500
Pd  0.500  0.500  0.500

Formation enthalpy at 0 K, eV/atom: 1.217

***

An optimized crystal structure of SmDyIr2. Source: Alexandria, functional PBE.

Cell lengths 4.989, 3.339, 9.986 Å; angles 90.00, 90.00, 90.00 degrees
Positions (direct):
Sm  0.250  0.000  0.127
Sm  0.750  0.000  0.873
Dy  0.250  0.000  0.623
Dy  0.750  0.000  0.377
Ir  0.250  0.500  0.380
Ir  0.250  0.500  0.869
Ir  0.750  0.500  0.131
Ir  0.750  0.500  0.620

Energy above the lowest structure with this stoichiometry, eV/atom: 0.000
Formation enthalpy at 0 K, eV/atom: -0.720

***

An optimized crystal structure of NaYTe2. Source: Alexandria, functional PBE.

Cell lengths 8.233, 8.233, 7.815 Å; angles 90.00, 90.00, 90.00 degrees
Positions (direct):
Na  0.000  0.000  0.250
Na  0.000  0.000  0.750
Na  0.500  0.500  0.250
Na  0.500  0.500  0.750
Y  0.000  0.500  0.250
Y  0.000  0.500  0.750
Y  0.500  0.000  0.250
Y  0.500  0.000  0.750
Te  0.195  0.305  0.000
Te  0.195  0.695  0.500
Te  0.305  0.195  0.500
Te  0.305  0.805  0.000
Te  0.695  0.195  0.000
Te  0.695  0.805  0.500
Te  0.805  0.305  0.500
Te  0.805  0.695  0.000

ΔE_f (raw), eV/atom: -1.0811

***

An optimized crystal structure of Hf6SnRh. Source: Alexandria, functional PBE.

Cell lengths 5.535, 5.535, 5.535 Å; angles 93.57, 93.57, 93.57 degrees
Positions (direct):
Hf  0.021  0.550  0.760
Hf  0.240  0.979  0.450
Hf  0.450  0.240  0.979
Hf  0.550  0.760  0.021
Hf  0.760  0.021  0.550
Hf  0.979  0.450  0.240
Sn  0.500  0.500  0.500
Rh  0.000  0.000  0.000

Formation enthalpy at 0 K, eV/atom: -0.280

***

An optimized crystal structure of NaPm2Tl. Source: Alexandria, functional PBE.

Cell lengths 3.824, 3.824, 8.647 Å; angles 90.00, 90.00, 90.00 degrees
Positions (direct):
Na  0.000  0.000  0.000
Pm  0.500  0.500  0.277
Pm  0.500  0.500  0.723
Tl  0.000  0.000  0.500

Formation enthalpy at 0 K, eV/atom: -0.044

***

An optimized crystal structure of Cd2GaCu. Source: Alexandria, functional PBE.

Cell lengths 3.243, 3.243, 7.265 Å; angles 90.00, 90.00, 90.00 degrees
Positions (direct):
Cd  0.000  0.000  0.220
Cd  0.000  0.000  0.780
Ga  0.500  0.500  0.500
Cu  0.500  0.500  0.000

Formation enthalpy at 0 K, eV/atom: 0.103

***

no.,density of states at the Fermi level (states/eV/cell)
1,1.77
2,5.09
3,9.74
4,18.37
5,5.33
6,7.43
7,5.19
8,4.97
9,0.00
10,6.90
11,4.71
12,0.98